# 1
PBE UGa, optimized geometry; formation energy from the elements = -0.117 eV/atom; crystal system = hexagonal; electronic total energy = -7.275 eV per atom
1.0
2.892 0.000 0.000
-1.446 2.504 0.000
0.000 0.000 5.253
U Ga
1 1
direct
0.333 0.667 0.000
0.667 0.333 0.500

---

# 2
PBE UGa2, optimized geometry; formation energy from the elements = -0.187 eV/atom; crystal system = cubic; electronic total energy = -5.967 eV per atom
1.0
-5.362 -0.891 0.353
-2.006 -4.967 -0.987
-2.001 -2.991 4.090
U Ga
2 4
direct
0.000 0.000 0.000
0.250 0.250 0.250
0.125 0.625 0.625
0.625 0.125 0.625
0.625 0.625 0.625
0.625 0.625 0.125

---

# 3
PBE UGa3, optimized geometry; formation energy from the elements = -0.073 eV/atom; crystal system = orthorhombic; electronic total energy = -5.165 eV per atom
1.0
2.790 0.000 0.000
0.000 5.504 0.000
-1.395 -2.752 5.117
U Ga
1 3
direct
0.000 0.014 0.000
0.251 0.572 0.502
0.500 0.512 0.000
0.749 0.069 0.498

---

# 4
PBE UGa3, optimized geometry; formation energy from the elements = -0.051 eV/atom; crystal system = orthorhombic; electronic total energy = -5.144 eV per atom
1.0
2.825 0.000 0.000
0.000 4.834 0.000
0.000 0.000 5.675
U Ga
1 3
direct
0.000 0.000 0.011
0.500 0.000 0.510
0.500 0.500 0.797
0.000 0.500 0.349

---

# 5
PBE UGa, optimized geometry; formation energy from the elements = -0.132 eV/atom; crystal system = monoclinic; electronic total energy = -7.289 eV per atom
1.0
3.336 0.000 0.435
0.000 4.040 0.000
0.072 0.000 5.878
U Ga
2 2
direct
0.123 0.750 0.611
0.877 0.250 0.389
0.434 0.750 0.120
0.566 0.250 0.880

---

# 6
PBE U3Ga, optimized geometry; formation energy from the elements = -0.014 eV/atom; crystal system = orthorhombic; electronic total energy = -9.236 eV per atom
1.0
2.912 0.000 0.000
0.000 5.038 0.000
0.000 0.000 5.421
U Ga
3 1
direct
0.000 0.000 0.002
0.500 0.000 0.474
0.500 0.500 0.852
0.000 0.500 0.340

---

# 7
PBE U3Ga5, optimized geometry; formation energy from the elements = -0.179 eV/atom; crystal system = orthorhombic; electronic total energy = -6.304 eV per atom
1.0
4.599 -4.058 0.000
4.599 4.058 0.000
0.000 0.000 8.007
U Ga
6 10
direct
0.500 0.500 0.750
0.283 0.717 0.000
0.500 0.500 0.250
0.717 0.283 0.500
0.283 0.717 0.500
0.717 0.283 0.000
0.000 0.000 0.750
0.772 0.772 0.000
0.000 0.500 0.750
0.228 0.228 0.500
0.500 0.000 0.250
0.000 0.000 0.250
0.228 0.228 0.000
0.000 0.500 0.250
0.772 0.772 0.500
0.500 0.000 0.750

---

# 8
PBE U5Ga, optimized geometry; formation energy from the elements = 0.069 eV/atom; crystal system = orthorhombic; electronic total energy = -9.843 eV per atom
1.0
2.995 0.000 0.000
0.000 5.157 0.000
0.000 -2.578 7.825
U Ga
5 1
direct
0.000 0.655 0.311
0.000 0.345 0.689
0.500 0.500 0.000
0.500 0.176 0.353
0.500 0.824 0.647
0.000 0.000 0.000

---

# 9
PBE UGa, optimized geometry; formation energy from the elements = 0.063 eV/atom; crystal system = orthorhombic; electronic total energy = -7.095 eV per atom
1.0
-2.371 1.852 -5.278
-2.605 -3.646 4.102
-2.156 4.347 2.494
U Ga
4 4
direct
0.000 0.000 0.000
0.000 0.000 0.500
0.766 0.234 0.000
0.234 0.766 0.000
0.500 0.500 0.747
0.500 0.500 0.253
0.000 0.500 0.500
0.500 0.000 0.500

---

# 10
PBE UV4Ga, optimized geometry; formation energy from the elements = 0.272 eV/atom; crystal system = cubic; electronic total energy = -8.193 eV per atom
1.0
-2.182 -2.338 4.018
0.222 -5.113 0.427
2.935 -2.149 3.625
U Ga V
1 1 4
direct
0.250 0.250 0.250
0.000 0.000 0.000
0.622 0.622 0.133
0.622 0.133 0.622
0.622 0.622 0.622
0.133 0.622 0.622

---

# 11
PBE U2VGa8, optimized geometry; formation energy from the elements = -0.181 eV/atom; crystal system = tetragonal; electronic total energy = -5.264 eV per atom
1.0
-1.391 -0.709 -4.054
-3.495 -2.056 1.558
-5.537 9.583 0.225
U V Ga
2 1 8
direct
0.000 0.000 0.309
0.000 0.000 0.691
0.000 0.000 0.000
0.000 0.500 0.500
0.500 0.000 0.500
0.500 0.500 0.313
0.500 0.500 0.687
0.000 0.500 0.125
0.500 0.000 0.125
0.000 0.500 0.875
0.500 0.000 0.875

---

# 12
PBE U2Ga8W, optimized geometry; formation energy from the elements = -0.099 eV/atom; crystal system = tetragonal; electronic total energy = -5.531 eV per atom
1.0
-0.198 -0.972 4.282
2.316 -3.665 -0.725
9.339 5.567 1.695
U W Ga
2 1 8
direct
0.000 0.000 0.308
0.000 0.000 0.692
0.000 0.000 0.000
0.000 0.500 0.500
0.500 0.000 0.500
0.500 0.500 0.314
0.500 0.500 0.686
0.000 0.500 0.127
0.500 0.000 0.127
0.000 0.500 0.873
0.500 0.000 0.873